1.
Here is a geometry-optimized PdPtPb2Se structure from the Alexandria database. Energies are from GGA-PBEsol.

Output
- DOS at the Fermi energy: 4.38 states/eV per cell
- Symmetry: P4/mmm
- ΔE_f (raw): 0.404 eV/atom

Geometry as POSCAR:
```
PdPtPb2Se
1.0
5.013 0.000 0.000
0.000 5.166 0.000
0.000 0.000 5.166
Pd Pt Pb Se
1 1 2 1
Cartesian
2.506 0.000 0.000
0.000 0.000 0.000
0.000 0.000 2.583
0.000 2.583 0.000
2.506 2.583 2.583
```

2.
Here is a geometry-optimized Re2PdRhPb structure from the Alexandria database. Energies are from GGA-PBEsol.

Output
- Formation enthalpy at 0 K: 294.7 kJ per mole of atoms
- DOS at the Fermi energy: 7.57 states/eV per cell
- Symmetry: P4/mmm

Geometry as POSCAR:
```
Re2PdRhPb
1.0
4.750 0.000 0.000
0.000 4.924 0.000
0.000 0.000 4.924
Pd Rh Pb Re
1 1 1 2
Cartesian
2.375 0.000 0.000
2.375 2.462 2.462
0.000 0.000 0.000
0.000 2.462 0.000
0.000 0.000 2.462
```

3.
Here is a geometry-optimized Zn2PdRhPb structure from the Alexandria database. Energies are from GGA-PBEsol.

Output
- Formation enthalpy at 0 K: 40.0 kJ per mole of atoms
- DOS at the Fermi energy: 2.41 states/eV per cell
- Symmetry: P4/mmm

Geometry as POSCAR:
```
Zn2PdRhPb
1.0
-4.248 0.921 -1.620
-1.785 -3.169 2.880
-0.576 3.516 3.512
Rh Zn Pd Pb
1 2 1 1
Cartesian
0.000 0.000 0.000
-2.124 0.461 -0.810
-0.893 -1.584 1.440
-3.305 0.634 2.386
-0.288 1.758 1.756
```

4.
Here is a geometry-optimized PdPbS3 structure from the Alexandria database. Energies are from GGA-PBEsol.

Output
- DOS at the Fermi energy: 6.05 states/eV per cell
- Symmetry: Pm-3m
- ΔE_f (raw): 0.032 eV/atom

Geometry as POSCAR:
```
PdPbS3
1.0
-0.426 4.627 -0.592
-1.766 -0.710 -4.280
-4.317 -0.166 1.809
S Pb Pd
3 1 1
Cartesian
-0.213 2.313 -0.296
-0.883 -0.355 -2.140
-2.159 -0.083 0.904
-3.254 1.875 -1.531
0.000 0.000 0.000
```

5.
Here is a geometry-optimized SbPdPbW2 structure from the Alexandria database. Energies are from GGA-PBEsol.

Output
- DOS at the Fermi energy: 6.65 states/eV per cell
- Symmetry: P4/mmm
- ΔE_f (raw): 2.987 eV/atom

Geometry as POSCAR:
```
SbPdPbW2
1.0
-2.576 3.329 -2.727
-3.298 0.514 3.744
2.987 4.015 2.080
Pd Pb W Sb
1 1 2 1
Cartesian
-1.444 3.929 1.548
0.000 0.000 0.000
-1.288 1.665 -1.364
-1.649 0.257 1.872
1.493 2.007 1.040
```

6.
Here is a geometry-optimized PdPb3Se structure from the Alexandria database. Energies are from GGA-PBEsol.

Output
- DOS at the Fermi energy: 2.96 states/eV per cell
- Symmetry: Pm-3m
- ΔE_f (raw): 0.053 eV/atom

Geometry as POSCAR:
```
PdPb3Se
1.0
5.252 0.000 0.000
0.000 5.252 0.000
0.000 0.000 5.252
Pd Pb Se
1 3 1
Cartesian
0.000 0.000 0.000
2.626 0.000 0.000
0.000 2.626 0.000
0.000 0.000 2.626
2.626 2.626 2.626
```